A relaxed structure of CsCuTe. Source: the Alexandria database, functional PBEsol. Values from VASP.

Geometry as Quantum ESPRESSO input:
```
&SYSTEM
  ibrav = 0, nat = 6, ntyp = 3
/
ATOMIC_SPECIES
Te 127.60 Te.upf
Cu 63.55 Cu.upf
Cs 132.91 Cs.upf
ATOMIC_POSITIONS crystal
Te 0.629 0.781 0.258
Te 0.371 0.219 0.742
Cu 0.216 0.921 0.433
Cu 0.784 0.079 0.567
Cs 0.903 0.699 0.805
Cs 0.097 0.301 0.195
CELL_PARAMETERS angstrom
4.335 0.000 0.000
0.000 6.705 0.020
-2.167 -1.702 6.924
```

Total magnetic moment: 0.00 Bohr magnetons per cell
Formation energy from raw total energies: -589 meV/atom
Crystal system: monoclinic


A relaxed structure of CsTl2Cu2. Source: the Alexandria database, functional PBEsol. Values from VASP.

Geometry as Quantum ESPRESSO input:
```
&SYSTEM
  ibrav = 0, nat = 5, ntyp = 3
/
ATOMIC_SPECIES
Cu 63.55 Cu.upf
Tl 204.38 Tl.upf
Cs 132.91 Cs.upf
ATOMIC_POSITIONS crystal
Cu 0.386 0.386 0.772
Cu 0.614 0.614 0.228
Tl 0.750 0.250 0.500
Tl 0.250 0.750 0.500
Cs 0.000 0.000 0.000
CELL_PARAMETERS angstrom
-4.483 1.826 0.424
-1.694 -4.417 1.108
3.985 2.273 4.498
```

Total magnetic moment: 0.00 Bohr magnetons per cell
DFT formation energy: 1.4 eV/f.u.
Crystal system: tetragonal


A relaxed structure of Cs2CuW. Source: the Alexandria database, functional PBEsol. Values from VASP.

Geometry as Quantum ESPRESSO input:
```
&SYSTEM
  ibrav = 0, nat = 4, ntyp = 3
/
ATOMIC_SPECIES
Cs 132.91 Cs.upf
W 183.84 W.upf
Cu 63.55 Cu.upf
ATOMIC_POSITIONS crystal
Cs 0.250 0.250 0.250
Cs 0.750 0.750 0.750
W 0.500 0.500 0.500
Cu 0.000 0.000 0.000
CELL_PARAMETERS angstrom
-3.347 -4.903 -0.965
1.255 -5.117 2.901
-3.701 -2.008 4.295
```

Total magnetic moment: 5.02 Bohr magnetons per cell
DFT formation energy: 7.8 eV/f.u.
Crystal system: cubic


A relaxed structure of CsCuW2. Source: the Alexandria database, functional PBEsol. Values from VASP.

Geometry as Quantum ESPRESSO input:
```
&SYSTEM
  ibrav = 0, nat = 4, ntyp = 3
/
ATOMIC_SPECIES
W 183.84 W.upf
Cs 132.91 Cs.upf
Cu 63.55 Cu.upf
ATOMIC_POSITIONS crystal
W 0.750 0.750 0.750
W 0.250 0.250 0.250
Cs 0.500 0.500 0.500
Cu 0.000 0.000 0.000
CELL_PARAMETERS angstrom
4.557 0.000 0.000
2.279 3.947 0.000
2.279 1.316 3.721
```

Total magnetic moment: 0.00 Bohr magnetons per cell
DFT formation energy: 8.8 eV/f.u.
Crystal system: cubic


A relaxed structure of Cs3DyO3. Source: the Alexandria database, functional PBEsol. Values from VASP.

Geometry as Quantum ESPRESSO input:
```
&SYSTEM
  ibrav = 0, nat = 28, ntyp = 3
/
ATOMIC_SPECIES
Cs 132.91 Cs.upf
O 16.00 O.upf
Dy 162.50 Dy.upf
ATOMIC_POSITIONS crystal
Cs 0.097 0.465 0.809
Cs 0.403 0.535 0.309
Cs 0.510 0.267 0.959
Cs 0.903 0.535 0.191
Cs 0.651 0.925 0.798
Cs 0.597 0.465 0.691
Cs 0.490 0.733 0.041
Cs 0.349 0.075 0.202
Cs 0.151 0.925 0.702
Cs 0.990 0.733 0.459
Cs 0.849 0.075 0.298
Cs 0.010 0.267 0.541
O 0.478 0.886 0.416
O 0.212 0.169 0.398
O 0.774 0.623 0.867
O 0.978 0.886 0.084
O 0.522 0.114 0.584
O 0.712 0.169 0.102
O 0.022 0.114 0.916
O 0.288 0.831 0.898
O 0.726 0.377 0.367
O 0.226 0.377 0.133
O 0.274 0.623 0.633
O 0.788 0.831 0.602
Dy 0.516 0.834 0.560
Dy 0.984 0.166 0.060
Dy 0.016 0.834 0.940
Dy 0.484 0.166 0.440
CELL_PARAMETERS angstrom
-0.224 -0.499 -7.353
-6.430 -1.991 3.744
-4.791 13.964 -0.802
```

Total magnetic moment: 0.00 Bohr magnetons per cell
Formation energy from raw total energies: -1951 meV/atom
Crystal system: monoclinic


A relaxed structure of Cs3DyO3. Source: the Alexandria database, functional PBEsol. Values from VASP.

Geometry as Quantum ESPRESSO input:
```
&SYSTEM
  ibrav = 0, nat = 14, ntyp = 3
/
ATOMIC_SPECIES
O 16.00 O.upf
Cs 132.91 Cs.upf
Dy 162.50 Dy.upf
ATOMIC_POSITIONS crystal
O 0.561 0.835 0.732
O 0.105 0.105 0.859
O 0.165 0.439 0.268
O 0.439 0.165 0.268
O 0.835 0.561 0.732
O 0.895 0.895 0.141
Cs 0.262 0.738 0.000
Cs 0.789 0.211 0.500
Cs 0.644 0.644 0.354
Cs 0.738 0.262 0.000
Cs 0.211 0.789 0.500
Cs 0.356 0.356 0.646
Dy 0.173 0.173 0.152
Dy 0.827 0.827 0.848
CELL_PARAMETERS angstrom
-4.898 -1.300 5.436
-2.106 -1.887 -6.872
4.154 -6.179 1.237
```

Total magnetic moment: 0.01 Bohr magnetons per cell
Formation energy from raw total energies: -1950 meV/atom
Crystal system: monoclinic


A relaxed structure of CsDyW2O8. Source: the Alexandria database, functional PBEsol. Values from VASP.

Geometry as Quantum ESPRESSO input:
```
&SYSTEM
  ibrav = 0, nat = 24, ntyp = 4
/
ATOMIC_SPECIES
Dy 162.50 Dy.upf
O 16.00 O.upf
Cs 132.91 Cs.upf
W 183.84 W.upf
ATOMIC_POSITIONS crystal
Dy 0.750 0.227 0.227
Dy 0.250 0.773 0.773
O 0.126 0.937 0.377
O 0.533 0.413 0.371
O 0.467 0.587 0.629
O 0.626 0.623 0.063
O 0.438 0.248 0.621
O 0.938 0.379 0.752
O 0.201 0.783 0.050
O 0.562 0.752 0.379
O 0.967 0.371 0.413
O 0.374 0.377 0.937
O 0.299 0.050 0.783
O 0.701 0.950 0.217
O 0.062 0.621 0.248
O 0.874 0.063 0.623
O 0.033 0.629 0.587
O 0.799 0.217 0.950
Cs 0.750 0.802 0.802
Cs 0.250 0.198 0.198
W 0.725 0.302 0.690
W 0.275 0.698 0.310
W 0.775 0.690 0.302
W 0.225 0.310 0.698
CELL_PARAMETERS angstrom
7.506 -0.026 0.034
3.489 6.672 0.038
-3.489 1.664 6.461
```

Total magnetic moment: 0.00 Bohr magnetons per cell
Formation energy from raw total energies: -2544 meV/atom
Crystal system: monoclinic


A relaxed structure of CsDyZnSe3. Source: the Alexandria database, functional PBEsol. Values from VASP.

Geometry as Quantum ESPRESSO input:
```
&SYSTEM
  ibrav = 0, nat = 12, ntyp = 4
/
ATOMIC_SPECIES
Dy 162.50 Dy.upf
Se 78.96 Se.upf
Cs 132.91 Cs.upf
Zn 65.41 Zn.upf
ATOMIC_POSITIONS crystal
Dy 0.000 0.000 0.500
Dy 0.000 0.000 0.000
Se 0.057 0.115 0.250
Se 0.382 0.763 0.059
Se 0.618 0.237 0.559
Se 0.943 0.885 0.750
Se 0.382 0.763 0.441
Se 0.618 0.237 0.941
Cs 0.256 0.512 0.750
Cs 0.744 0.488 0.250
Zn 0.463 0.925 0.250
Zn 0.537 0.075 0.750
CELL_PARAMETERS angstrom
4.091 0.000 0.000
-2.046 7.906 0.000
0.000 0.000 10.798
```

Total magnetic moment: 0.00 Bohr magnetons per cell
Formation energy from raw total energies: -1414 meV/atom
Crystal system: orthorhombic


A relaxed structure of Cs3Er2I9. Source: the Alexandria database, functional PBEsol. Values from VASP.

Geometry as Quantum ESPRESSO input:
```
&SYSTEM
  ibrav = 0, nat = 28, ntyp = 3
/
ATOMIC_SPECIES
Er 167.26 Er.upf
I 126.90 I.upf
Cs 132.91 Cs.upf
ATOMIC_POSITIONS crystal
Er 0.667 0.333 0.156
Er 0.667 0.333 0.344
Er 0.333 0.667 0.656
Er 0.333 0.667 0.844
I 0.838 0.676 0.416
I 0.324 0.162 0.416
I 0.676 0.838 0.916
I 0.005 0.502 0.750
I 0.502 0.005 0.250
I 0.162 0.838 0.916
I 0.838 0.676 0.084
I 0.502 0.498 0.250
I 0.162 0.324 0.584
I 0.162 0.838 0.584
I 0.162 0.324 0.916
I 0.498 0.995 0.750
I 0.498 0.502 0.750
I 0.676 0.838 0.584
I 0.324 0.162 0.084
I 0.838 0.162 0.416
I 0.995 0.498 0.250
I 0.838 0.162 0.084
Cs 0.667 0.333 0.933
Cs 0.667 0.333 0.567
Cs 0.000 0.000 0.250
Cs 0.333 0.667 0.433
Cs 0.000 0.000 0.750
Cs 0.333 0.667 0.067
CELL_PARAMETERS angstrom
8.281 0.000 0.000
-4.141 7.172 0.000
0.000 0.000 21.001
```

Total magnetic moment: 0.00 Bohr magnetons per cell
Formation energy from raw total energies: -1475 meV/atom
Crystal system: hexagonal


A relaxed structure of CsErMo2O8. Source: the Alexandria database, functional PBEsol. Values from VASP.

Geometry as Quantum ESPRESSO input:
```
&SYSTEM
  ibrav = 0, nat = 24, ntyp = 4
/
ATOMIC_SPECIES
O 16.00 O.upf
Er 167.26 Er.upf
Mo 95.94 Mo.upf
Cs 132.91 Cs.upf
ATOMIC_POSITIONS crystal
O 0.258 0.178 0.814
O 0.258 0.322 0.186
O 0.742 0.322 0.814
O 0.615 0.500 0.358
O 0.258 0.822 0.814
O 0.258 0.678 0.186
O 0.385 0.500 0.642
O 0.751 0.500 0.061
O 0.751 0.000 0.939
O 0.742 0.678 0.814
O 0.615 0.000 0.642
O 0.742 0.822 0.186
O 0.385 0.000 0.358
O 0.742 0.178 0.186
O 0.249 0.500 0.939
O 0.249 0.000 0.061
Er 0.000 0.750 0.000
Er 0.000 0.250 0.000
Mo 0.477 0.000 0.808
Mo 0.523 0.500 0.808
Mo 0.523 0.000 0.192
Mo 0.477 0.500 0.192
Cs 0.000 0.250 0.500
Cs 0.000 0.750 0.500
CELL_PARAMETERS angstrom
-1.436 3.762 2.967
-3.940 -5.069 4.519
7.716 -1.253 5.322
```

Total magnetic moment: 0.00 Bohr magnetons per cell
Formation energy from raw total energies: -2473 meV/atom
Crystal system: orthorhombic


A relaxed structure of CsErMo2O8. Source: the Alexandria database, functional PBEsol. Values from VASP.

Geometry as Quantum ESPRESSO input:
```
&SYSTEM
  ibrav = 0, nat = 12, ntyp = 4
/
ATOMIC_SPECIES
O 16.00 O.upf
Mo 95.94 Mo.upf
Cs 132.91 Cs.upf
Er 167.26 Er.upf
ATOMIC_POSITIONS crystal
O 0.340 0.170 0.166
O 0.660 0.830 0.834
O 0.667 0.333 0.448
O 0.170 0.830 0.834
O 0.333 0.667 0.552
O 0.170 0.340 0.834
O 0.830 0.660 0.166
O 0.830 0.170 0.166
Mo 0.667 0.333 0.236
Mo 0.333 0.667 0.764
Cs 0.000 0.000 0.500
Er 0.000 0.000 0.000
CELL_PARAMETERS angstrom
5.952 0.000 0.000
-2.976 5.155 0.000
0.000 0.000 8.077
```

Total magnetic moment: 0.00 Bohr magnetons per cell
Formation energy from raw total energies: -2464 meV/atom
Crystal system: trigonal


A relaxed structure of CsErMo2O8. Source: the Alexandria database, functional PBEsol. Values from VASP.

Geometry as Quantum ESPRESSO input:
```
&SYSTEM
  ibrav = 0, nat = 24, ntyp = 4
/
ATOMIC_SPECIES
O 16.00 O.upf
Er 167.26 Er.upf
Cs 132.91 Cs.upf
Mo 95.94 Mo.upf
ATOMIC_POSITIONS crystal
O 0.787 0.948 0.704
O 0.616 0.757 0.567
O 0.067 0.382 0.375
O 0.384 0.243 0.433
O 0.757 0.616 0.067
O 0.052 0.213 0.796
O 0.632 0.415 0.533
O 0.243 0.384 0.933
O 0.382 0.067 0.875
O 0.415 0.632 0.033
O 0.948 0.787 0.204
O 0.933 0.618 0.625
O 0.368 0.585 0.467
O 0.213 0.052 0.296
O 0.585 0.368 0.967
O 0.618 0.933 0.125
Er 0.770 0.230 0.750
Er 0.230 0.770 0.250
Cs 0.805 0.195 0.250
Cs 0.195 0.805 0.750
Mo 0.696 0.693 0.768
Mo 0.307 0.304 0.732
Mo 0.304 0.307 0.232
Mo 0.693 0.696 0.268
CELL_PARAMETERS angstrom
7.430 -0.013 -0.011
0.170 7.428 -0.011
3.552 3.465 5.763
```

Total magnetic moment: 0.00 Bohr magnetons per cell
Formation energy from raw total energies: -2444 meV/atom
Crystal system: monoclinic